Below is a relaxed structure of Ag8Pd6Pb, with properties calculated at the PBE level.

Lattice parameters (Å, degrees): 7.128 7.128 7.128 66.49 66.49 66.49
Sites, in units of the cell vectors:
Ag (0.028, 0.719, 0.387)
Ag (0.182, 0.182, 0.182)
Ag (0.281, 0.613, 0.972)
Ag (0.387, 0.028, 0.719)
Ag (0.613, 0.972, 0.281)
Ag (0.719, 0.387, 0.028)
Ag (0.818, 0.818, 0.818)
Ag (0.972, 0.281, 0.613)
Pd (0.129, 0.442, 0.791)
Pd (0.209, 0.871, 0.558)
Pd (0.442, 0.791, 0.129)
Pd (0.558, 0.209, 0.871)
Pd (0.791, 0.129, 0.442)
Pd (0.871, 0.558, 0.209)
Pb (0.500, 0.500, 0.500)

Output
Volume   291.9 Å³/f.u.
Space-group type   No. 148
Calculated density   9.72 g/cm3
Calculated total energy   -3.78 eV/atom
Crystal system   trigonal
DOS at the Fermi energy   0.241 states/eV/atom

Below is a relaxed structure of CsSc2TlSi, with properties calculated at the PBE level.

Lattice parameters (Å, degrees): 5.608 5.608 5.472 90.00 90.00 90.00
Sites, in units of the cell vectors:
Cs (0.000, 0.000, 0.000)
Sc (0.000, 0.500, 0.500)
Sc (0.500, 0.000, 0.500)
Tl (0.500, 0.500, 0.500)
Si (0.500, 0.500, 0.000)

Output
Volume   172.1 Å³/f.u.
Space-group type   No. 123
Calculated density   4.39 g/cm3
Calculated total energy   -3.50 eV/atom
Crystal system   tetragonal
DOS at the Fermi energy   1.099 states/eV/atom

Below is a relaxed structure of Sr2Al4Si3Ag, with properties calculated at the PBE level.

Lattice parameters (Å, degrees): 4.506 4.506 10.362 90.00 90.00 90.00
Sites, in units of the cell vectors:
Sr (0.000, 0.500, 0.246)
Sr (0.500, 0.000, 0.754)
Al (0.000, 0.000, 0.500)
Al (0.000, 0.500, 0.873)
Al (0.500, 0.000, 0.127)
Al (0.500, 0.500, 0.500)
Si (0.000, 0.000, 0.000)
Si (0.000, 0.500, 0.625)
Si (0.500, 0.000, 0.375)
Ag (0.500, 0.500, 0.000)

Output
Volume   210.4 Å³/f.u.
Space-group type   No. 115
Calculated density   3.75 g/cm3
Calculated total energy   -3.99 eV/atom
Crystal system   tetragonal
DOS at the Fermi energy   0.365 states/eV/atom

Below is a relaxed structure of Tb6Pm2Sm3Er, with properties calculated at the PBE level.

Lattice parameters (Å, degrees): 6.213 6.213 11.885 94.99 94.99 119.97
Sites, in units of the cell vectors:
Tb (0.083, 0.416, 0.749)
Tb (0.249, 0.249, 0.250)
Tb (0.416, 0.083, 0.749)
Tb (0.584, 0.917, 0.251)
Tb (0.751, 0.751, 0.750)
Tb (0.917, 0.584, 0.251)
Pm (0.333, 0.667, 0.500)
Pm (0.667, 0.333, 0.500)
Sm (0.167, 0.833, 0.000)
Sm (0.500, 0.500, 0.000)
Sm (0.833, 0.167, 0.000)
Er (0.000, 0.000, 0.500)

Output
Volume   391.4 Å³/f.u.
Space-group type   No. 12
Calculated density   7.90 g/cm3
Calculated total energy   -4.65 eV/atom
Crystal system   monoclinic
DOS at the Fermi energy   1.261 states/eV/atom

Below is a relaxed structure of Pm2FeAs4Pt3, with properties calculated at the PBE level.

Lattice parameters (Å, degrees): 4.368 4.368 10.037 90.00 90.00 90.00
Sites, in units of the cell vectors:
Pm (0.000, 0.500, 0.247)
Pm (0.500, 0.000, 0.753)
Fe (0.500, 0.500, 0.000)
As (0.000, 0.000, 0.500)
As (0.000, 0.500, 0.875)
As (0.500, 0.000, 0.125)
As (0.500, 0.500, 0.500)
Pt (0.000, 0.000, 0.000)
Pt (0.000, 0.500, 0.628)
Pt (0.500, 0.000, 0.372)

Output
Volume   191.5 Å³/f.u.
Space-group type   No. 115
Calculated density   10.67 g/cm3
Calculated total energy   -6.26 eV/atom
Crystal system   tetragonal
DOS at the Fermi energy   0.538 states/eV/atom

Below is a relaxed structure of RbZr2GaPb, with properties calculated at the PBE level.

Lattice parameters (Å, degrees): 6.334 6.334 8.583 90.00 90.00 90.00
Sites, in units of the cell vectors:
Rb (0.000, 0.000, 0.000)
Zr (0.000, 0.500, 0.500)
Zr (0.500, 0.000, 0.500)
Ga (0.500, 0.500, 0.000)
Pb (0.000, 0.000, 0.500)

Output
Volume   344.3 Å³/f.u.
Relative energy among the computed polymorphs   933.4 meV/atom
Space-group type   No. 123
Calculated density   2.63 g/cm3
Calculated total energy   -3.33 eV/atom
Crystal system   tetragonal
DOS at the Fermi energy   1.624 states/eV/atom

Below is a relaxed structure of Cs2WBr6, with properties calculated at the PBE level.

Lattice parameters (Å, degrees): 7.805 7.805 7.805 60.00 60.00 60.00
Sites, in units of the cell vectors:
Cs (0.250, 0.250, 0.250)
Cs (0.750, 0.750, 0.750)
W (0.000, 0.000, 0.000)
Br (0.232, 0.232, 0.768)
Br (0.232, 0.768, 0.232)
Br (0.232, 0.768, 0.768)
Br (0.768, 0.232, 0.232)
Br (0.768, 0.232, 0.768)
Br (0.768, 0.768, 0.232)

Output
Volume   336.3 Å³/f.u.
Space-group type   No. 225
Calculated density   4.59 g/cm3
Calculated total energy   -3.84 eV/atom
Crystal system   cubic
DOS at the Fermi energy   0.925 states/eV/atom

Below is a relaxed structure of LuThBi, with properties calculated at the PBE level.

Lattice parameters (Å, degrees): 5.416 5.416 3.646 90.00 90.00 120.00
Sites, in units of the cell vectors:
Lu (0.000, 0.000, 0.000)
Th (0.333, 0.667, 0.513)
Bi (0.667, 0.333, 0.154)

Output
Volume   92.6 Å³/f.u.
Relative energy among the computed polymorphs   210.7 meV/atom
Space-group type   No. 156
Calculated density   11.04 g/cm3
Calculated total energy   -5.39 eV/atom
Crystal system   trigonal
DOS at the Fermi energy   1.549 states/eV/atom

Below is a relaxed structure of Nd7FeCl12, with properties calculated at the PBE level.

Lattice parameters (Å, degrees): 9.195 9.195 9.195 106.49 106.49 106.49
Sites, in units of the cell vectors:
Nd (0.000, 0.000, 0.000)
Nd (0.190, 0.485, 0.392)
Nd (0.392, 0.190, 0.485)
Nd (0.485, 0.392, 0.190)
Nd (0.515, 0.608, 0.810)
Nd (0.608, 0.810, 0.515)
Nd (0.810, 0.515, 0.608)
Fe (0.500, 0.500, 0.500)
Cl (0.042, 0.127, 0.327)
Cl (0.127, 0.327, 0.042)
Cl (0.181, 0.578, 0.710)
Cl (0.290, 0.819, 0.422)
Cl (0.327, 0.042, 0.127)
Cl (0.422, 0.290, 0.819)
Cl (0.578, 0.710, 0.181)
Cl (0.673, 0.958, 0.873)
Cl (0.710, 0.181, 0.578)
Cl (0.819, 0.422, 0.290)
Cl (0.873, 0.673, 0.958)
Cl (0.958, 0.873, 0.673)

Output
Volume   656.2 Å³/f.u.
Space-group type   No. 148
Calculated density   3.77 g/cm3
Calculated total energy   -5.05 eV/atom
Crystal system   trigonal
DOS at the Fermi energy   0.542 states/eV/atom

Below is a relaxed structure of Pm3Nd2Hg4, with properties calculated at the PBE level.

Lattice parameters (Å, degrees): 9.852 9.852 8.345 90.00 90.00 137.91
Sites, in units of the cell vectors:
Pm (0.000, 0.000, 0.000)
Pm (0.010, 0.490, 0.250)
Pm (0.490, 0.010, 0.750)
Pm (0.500, 0.500, 0.500)
Pm (0.510, 0.990, 0.250)
Pm (0.990, 0.510, 0.750)
Nd (0.095, 0.905, 0.414)
Nd (0.405, 0.595, 0.914)
Nd (0.595, 0.405, 0.086)
Nd (0.905, 0.095, 0.586)
Hg (0.166, 0.834, 0.030)
Hg (0.183, 0.317, 0.250)
Hg (0.317, 0.183, 0.750)
Hg (0.334, 0.666, 0.530)
Hg (0.666, 0.334, 0.470)
Hg (0.683, 0.817, 0.250)
Hg (0.817, 0.683, 0.750)
Hg (0.834, 0.166, 0.970)

Output
Volume   271.4 Å³/f.u.
Space-group type   No. 64
Calculated density   9.33 g/cm3
Calculated total energy   -3.10 eV/atom
Crystal system   orthorhombic
DOS at the Fermi energy   1.118 states/eV/atom

Below is a relaxed structure of K2InTe, with properties calculated at the PBE level.

Lattice parameters (Å, degrees): 5.400 5.400 23.406 90.00 90.00 90.00
Sites, in units of the cell vectors:
K (0.226, 0.250, 0.125)
K (0.250, 0.726, 0.375)
K (0.250, 0.774, 0.875)
K (0.274, 0.250, 0.625)
K (0.726, 0.750, 0.625)
K (0.750, 0.226, 0.875)
K (0.750, 0.274, 0.375)
K (0.774, 0.750, 0.125)
In (0.000, 0.000, 0.500)
In (0.000, 0.500, 0.750)
In (0.500, 0.000, 0.250)
In (0.500, 0.500, 0.000)
Te (0.000, 0.000, 0.000)
Te (0.000, 0.500, 0.250)
Te (0.500, 0.000, 0.750)
Te (0.500, 0.500, 0.500)

Output
Volume   170.6 Å³/f.u.
Relative energy among the computed polymorphs   284.9 meV/atom
Space-group type   No. 122
Calculated density   3.12 g/cm3
Calculated total energy   -2.29 eV/atom
Crystal system   tetragonal
DOS at the Fermi energy   0.229 states/eV/atom

Below is a relaxed structure of BaSnSb4, with properties calculated at the PBE level.

Lattice parameters (Å, degrees): 6.452 6.452 6.452 60.00 60.00 60.00
Sites, in units of the cell vectors:
Ba (0.000, 0.000, 0.000)
Sn (0.750, 0.750, 0.750)
Sb (0.379, 0.379, 0.379)
Sb (0.379, 0.379, 0.862)
Sb (0.379, 0.862, 0.379)
Sb (0.862, 0.379, 0.379)

Output
Volume   189.9 Å³/f.u.
Relative energy among the computed polymorphs   105.9 meV/atom
Space-group type   No. 216
Calculated density   6.50 g/cm3
Calculated total energy   -3.90 eV/atom
Crystal system   cubic
DOS at the Fermi energy   0.562 states/eV/atom

Below is a relaxed structure of SrTcPt3, with properties calculated at the PBE level.

Lattice parameters (Å, degrees): 4.897 4.897 4.897 90.00 90.00 90.00
Sites, in units of the cell vectors:
Sr (0.000, 0.000, 0.000)
Tc (0.500, 0.500, 0.500)
Pt (0.000, 0.500, 0.500)
Pt (0.500, 0.000, 0.500)
Pt (0.500, 0.500, 0.000)

Output
Volume   117.4 Å³/f.u.
Relative energy among the computed polymorphs   0.0 meV/atom
Space-group type   No. 221
Calculated density   10.90 g/cm3
Calculated total energy   -5.85 eV/atom
Crystal system   cubic
DOS at the Fermi energy   0.741 states/eV/atom

Below is a relaxed structure of TcSnW2, with properties calculated at the PBE level.

Lattice parameters (Å, degrees): 3.851 3.851 19.601 90.00 90.00 90.00
Sites, in units of the cell vectors:
Tc (0.000, 0.000, 0.000)
Tc (0.000, 0.500, 0.250)
Tc (0.500, 0.000, 0.750)
Tc (0.500, 0.500, 0.500)
Sn (0.000, 0.000, 0.500)
Sn (0.000, 0.500, 0.750)
Sn (0.500, 0.000, 0.250)
Sn (0.500, 0.500, 0.000)
W (0.237, 0.250, 0.625)
W (0.250, 0.737, 0.875)
W (0.250, 0.763, 0.375)
W (0.263, 0.250, 0.125)
W (0.737, 0.750, 0.125)
W (0.750, 0.237, 0.375)
W (0.750, 0.263, 0.875)
W (0.763, 0.750, 0.625)

Output
Volume   72.7 Å³/f.u.
Space-group type   No. 122
Calculated density   13.36 g/cm3
Calculated total energy   -9.15 eV/atom
Crystal system   tetragonal
DOS at the Fermi energy   1.114 states/eV/atom

Below is a relaxed structure of Cs3Cu2BiCl9, with properties calculated at the PBE level.

Lattice parameters (Å, degrees): 7.350 7.350 9.077 90.00 90.00 120.00
Sites, in units of the cell vectors:
Cs (0.000, 0.000, 0.000)
Cs (0.333, 0.667, 0.675)
Cs (0.667, 0.333, 0.325)
Cu (0.333, 0.667, 0.132)
Cu (0.667, 0.333, 0.868)
Bi (0.000, 0.000, 0.500)
Cl (0.000, 0.500, 0.000)
Cl (0.174, 0.347, 0.324)
Cl (0.174, 0.826, 0.324)
Cl (0.347, 0.174, 0.676)
Cl (0.500, 0.000, 0.000)
Cl (0.500, 0.500, 0.000)
Cl (0.653, 0.826, 0.324)
Cl (0.826, 0.174, 0.676)
Cl (0.826, 0.653, 0.676)

Output
Volume   424.6 Å³/f.u.
Space-group type   No. 164
Calculated density   4.12 g/cm3
Calculated total energy   -3.33 eV/atom
Crystal system   trigonal
DOS at the Fermi energy   0.281 states/eV/atom

Below is a relaxed structure of KBi2Se2, with properties calculated at the PBE level.

Lattice parameters (Å, degrees): 8.957 8.957 4.012 90.00 90.00 90.00
Sites, in units of the cell vectors:
K (0.000, 0.000, 0.000)
K (0.500, 0.500, 0.000)
Bi (0.173, 0.327, 0.500)
Bi (0.327, 0.827, 0.500)
Bi (0.673, 0.173, 0.500)
Bi (0.827, 0.673, 0.500)
Se (0.172, 0.672, 0.000)
Se (0.328, 0.172, 0.000)
Se (0.672, 0.828, 0.000)
Se (0.828, 0.328, 0.000)

Output
Volume   161.0 Å³/f.u.
Relative energy among the computed polymorphs   98.1 meV/atom
Space-group type   No. 127
Calculated density   6.34 g/cm3
Calculated total energy   -3.46 eV/atom
Crystal system   tetragonal
DOS at the Fermi energy   0.496 states/eV/atom

Below is a relaxed structure of Tb3SnI7, with properties calculated at the PBE level.

Lattice parameters (Å, degrees): 8.835 8.835 7.218 90.00 90.00 120.00
Sites, in units of the cell vectors:
Tb (0.007, 0.503, 0.000)
Tb (0.497, 0.503, 0.000)
Tb (0.497, 0.993, 0.000)
Sn (0.333, 0.667, 0.260)
I (0.172, 0.345, 0.750)
I (0.172, 0.828, 0.750)
I (0.339, 0.169, 0.233)
I (0.655, 0.828, 0.750)
I (0.667, 0.333, 0.748)
I (0.831, 0.169, 0.233)
I (0.831, 0.661, 0.233)

Output
Volume   488.0 Å³/f.u.
Space-group type   No. 156
Calculated density   5.05 g/cm3
Calculated total energy   -3.68 eV/atom
Crystal system   trigonal
DOS at the Fermi energy   0.378 states/eV/atom

Below is a relaxed structure of Si2OsPb, with properties calculated at the PBE level.

Lattice parameters (Å, degrees): 4.103 4.103 4.184 90.00 90.00 90.00
Sites, in units of the cell vectors:
Si (0.000, 0.500, 0.000)
Si (0.500, 0.000, 0.000)
Os (0.000, 0.000, 0.500)
Pb (0.500, 0.500, 0.500)

Output
Volume   70.4 Å³/f.u.
Space-group type   No. 123
Calculated density   10.69 g/cm3
Calculated total energy   -5.46 eV/atom
Crystal system   tetragonal
DOS at the Fermi energy   0.771 states/eV/atom

Below is a relaxed structure of BaPF2, with properties calculated at the PBE level.

Lattice parameters (Å, degrees): 4.659 4.659 14.619 90.00 90.00 120.00
Sites, in units of the cell vectors:
Ba (0.000, 0.000, 0.000)
Ba (0.333, 0.667, 0.667)
Ba (0.667, 0.333, 0.333)
P (0.000, 0.000, 0.500)
P (0.333, 0.667, 0.167)
P (0.667, 0.333, 0.833)
F (0.000, 0.000, 0.363)
F (0.000, 0.000, 0.637)
F (0.333, 0.667, 0.029)
F (0.333, 0.667, 0.304)
F (0.667, 0.333, 0.696)
F (0.667, 0.333, 0.971)

Output
Volume   91.6 Å³/f.u.
Relative energy among the computed polymorphs   0.0 meV/atom
Space-group type   No. 166
Calculated density   3.74 g/cm3
Calculated total energy   -4.83 eV/atom
Crystal system   trigonal
DOS at the Fermi energy   0.354 states/eV/atom

Below is a relaxed structure of Er2Ti2Fe15, with properties calculated at the PBE level.

Lattice parameters (Å, degrees): 6.415 6.415 6.415 82.16 82.16 82.16
Sites, in units of the cell vectors:
Er (0.150, 0.150, 0.150)
Er (0.850, 0.850, 0.850)
Ti (0.397, 0.397, 0.397)
Ti (0.603, 0.603, 0.603)
Fe (0.000, 0.500, 0.500)
Fe (0.157, 0.157, 0.661)
Fe (0.157, 0.661, 0.157)
Fe (0.197, 0.500, 0.803)
Fe (0.197, 0.803, 0.500)
Fe (0.339, 0.843, 0.843)
Fe (0.500, 0.000, 0.500)
Fe (0.500, 0.197, 0.803)
Fe (0.500, 0.500, 0.000)
Fe (0.500, 0.803, 0.197)
Fe (0.661, 0.157, 0.157)
Fe (0.803, 0.197, 0.500)
Fe (0.803, 0.500, 0.197)
Fe (0.843, 0.339, 0.843)
Fe (0.843, 0.843, 0.339)

Output
Volume   257.2 Å³/f.u.
Space-group type   No. 166
Calculated density   8.19 g/cm3
Calculated total energy   -8.09 eV/atom
Crystal system   trigonal
DOS at the Fermi energy   1.046 states/eV/atom